An optimized crystal structure of Er2TmZn2. Source: Alexandria via LeMat-Bulk, functional PBE. Values from VASP.

Geometry as Quantum ESPRESSO input:
```
&SYSTEM
  ibrav = 0, nat = 5, ntyp = 3
/
ATOMIC_SPECIES
Er 167.26 Er.upf
Tm 168.93 Tm.upf
Zn 65.41 Zn.upf
ATOMIC_POSITIONS angstrom
Er 0.0000 0.0000 1.6118
Er 0.0000 0.0000 6.3978
Tm 0.0000 3.2034 0.0000
Zn 2.3544 1.2969 0.0000
Zn 0.0000 1.9065 4.0048
CELL_PARAMETERS angstrom
-2.3544 3.2034 4.0048
2.3544 -3.2034 4.0048
2.3544 3.2034 -4.0048
```

Calculated values
Energy relative to the lowest polymorph listed for this composition = 0.072 eV per atom
Density of states at the Fermi level = 5.894 states/eV/f.u.
ΔH_f (0 K) = -202.5 meV per atom
V = 24.16 Å³ per atom
Symmetry = Immm (71)